(i)
PuPa3Tc: optimized geometry, PBE.

Structure (extended XYZ):
```
10
Lattice="3.336 0.000 0.000 0.153 7.686 0.000 1.368 2.236 8.648" Properties=species:S:1:pos:R:3 pbc="T T T"
Pu 0.671 4.474 2.610
Pu 4.186 5.449 6.038
Pa 2.193 3.074 7.584
Pa 2.488 7.278 7.978
Pa 2.371 2.939 4.266
Pa 2.486 6.983 4.382
Pa 2.369 2.645 0.670
Pa 2.664 6.849 1.065
Tc 0.752 0.977 2.602
Tc 4.105 8.946 6.047
```

Calculated values
The calculation puts the total magnetization at 10.4 Bohr magnetons per cell. The calculated density comes out at 15.5 g/cm3. The space group is P-1 (2).

=====

(ii)
PuPa3Tc: optimized geometry, PBE.

Structure (extended XYZ):
```
20
Lattice="6.120 0.000 0.000 0.000 7.034 0.000 -3.480 0.000 10.525" Properties=species:S:1:pos:R:3 pbc="T T T"
Pu -1.400 1.042 4.923
Pu -3.140 2.475 10.186
Pu 5.781 4.559 0.339
Pu 4.041 5.992 5.602
Pa -0.255 3.570 2.737
Pa -1.995 6.981 8.000
Pa -0.291 4.283 6.109
Pa 1.449 6.268 0.846
Pa 0.882 0.992 6.120
Pa 2.622 2.525 0.857
Pa 0.018 4.509 9.668
Pa 1.758 6.042 4.406
Pa 1.191 0.766 9.679
Pa 2.931 2.751 4.416
Pa 4.635 0.053 2.526
Pa 2.895 3.464 7.788
Tc 1.017 1.178 2.804
Tc -0.723 2.339 8.066
Tc 3.363 4.695 2.459
Tc 1.623 5.856 7.722
```

Calculated values
The calculation puts the total magnetization at 0.0 Bohr magnetons per cell. The calculated density comes out at 15.2 g/cm3. The space group is P2_1/c (14).

=====

Of them, (i) has the highest stability.

=====

(i)
PuPa2Te5: optimized geometry, PBE.

Structure (extended XYZ):
```
16
Lattice="-4.085 4.085 7.095 4.085 -4.085 7.095 4.085 4.085 -7.095" Properties=species:S:1:pos:R:3 pbc="T T T"
Pu 0.000 0.000 3.547
Pu 0.000 0.000 10.642
Pa 5.260 1.175 0.000
Pa 1.175 2.909 0.000
Pa 2.909 1.175 7.095
Pa -1.175 2.909 7.095
Te 0.000 0.000 0.000
Te 2.794 1.291 -2.086
Te 2.794 -1.291 5.008
Te 2.794 1.291 2.086
Te 2.794 -1.291 9.181
Te 0.000 0.000 7.095
Te 1.291 5.376 -2.086
Te 1.291 2.794 5.008
Te 1.291 5.376 2.086
Te 1.291 2.794 9.181
```

Calculated values
The calculation puts the total magnetization at 16.0 Bohr magnetons per cell. The calculated density comes out at 9.4 g/cm3. The space group is I4/mcm (140).

=====

(ii)
PuPa2Te5: optimized geometry, PBE.

Structure (extended XYZ):
```
8
Lattice="7.379 0.000 0.000 0.000 7.379 0.000 0.000 0.000 5.292" Properties=species:S:1:pos:R:3 pbc="T T T"
Pu 0.000 0.000 0.000
Pa 0.000 3.690 2.646
Pa 3.690 0.000 2.646
Te 0.000 0.000 2.646
Te 2.058 2.058 0.000
Te 2.058 5.321 0.000
Te 5.321 2.058 0.000
Te 5.321 5.321 0.000
```

Calculated values
The calculation puts the total magnetization at 8.8 Bohr magnetons per cell. The calculated density comes out at 7.7 g/cm3. The space group is P4/mmm (123).

=====

Of them, (i) has the highest stability.

=====

(i)
PuPa2Te4: optimized geometry, PBE.

Structure (extended XYZ):
```
14
Lattice="-4.636 4.636 4.674 4.636 -4.636 4.674 4.636 4.636 -4.674" Properties=species:S:1:pos:R:3 pbc="T T T"
Pu 0.000 0.000 0.000
Pu 0.000 4.636 2.337
Pa 2.318 3.509 -1.169
Pa 5.763 2.318 1.169
Pa 2.318 1.127 3.506
Pa -1.127 2.318 5.843
Te 5.353 3.020 -1.881
Te 3.020 0.717 0.456
Te 3.919 -1.616 4.218
Te -0.717 1.616 2.794
Te 3.020 3.919 1.881
Te 0.717 6.251 -0.456
Te 1.616 0.717 6.555
Te 1.616 3.919 5.131
```

Calculated values
The calculation puts the total magnetization at 19.0 Bohr magnetons per cell. The calculated density comes out at 10.1 g/cm3. The space group is I-42d (122).

=====

(ii)
PuPa2Te4: optimized geometry, PBE.

Structure (extended XYZ):
```
14
Lattice="2.110 -6.942 0.000 2.110 6.942 0.000 0.000 0.000 15.364" Properties=species:S:1:pos:R:3 pbc="T T T"
Pu 2.110 5.564 11.523
Pu 2.110 -5.564 3.841
Pa 2.110 2.055 8.600
Pa 2.110 2.055 14.446
Pa 2.110 -2.055 0.918
Pa 2.110 -2.055 6.764
Te 0.000 0.000 0.000
Te 0.000 0.000 7.682
Te 2.110 2.955 2.043
Te 2.110 2.955 5.639
Te 2.110 0.978 11.523
Te 2.110 -0.978 3.841
Te 2.110 -2.955 9.725
Te 2.110 -2.955 13.321
```

Calculated values
The calculation puts the total magnetization at 5.8 Bohr magnetons per cell. The calculated density comes out at 9.0 g/cm3. The space group is Cmcm (63).

=====

Of them, (i) has the highest stability.

=====

(i)
PuPa2Te: optimized geometry, PBE.

Structure (extended XYZ):
```
4
Lattice="3.904 0.000 0.000 0.000 3.904 0.000 0.000 0.000 6.532" Properties=species:S:1:pos:R:3 pbc="T T T"
Pu 0.000 0.000 0.000
Pa 1.952 1.952 1.527
Pa 1.952 1.952 5.005
Te 0.000 0.000 3.266
```

Calculated values
The calculation puts the total magnetization at 6.7 Bohr magnetons per cell. The calculated density comes out at 13.9 g/cm3. The space group is P4/mmm (123).

=====

(ii)
PuPa2Te: optimized geometry, PBE.

Structure (extended XYZ):
```
4
Lattice="4.539 0.000 0.000 0.000 4.539 0.000 0.000 0.000 4.629" Properties=species:S:1:pos:R:3 pbc="T T T"
Pu 0.000 0.000 0.000
Pa 0.000 2.270 2.314
Pa 2.270 0.000 2.314
Te 2.270 2.270 0.000
```

Calculated values
The calculation puts the total magnetization at 4.5 Bohr magnetons per cell. The calculated density comes out at 14.5 g/cm3. The space group is P4/mmm (123).

=====

Of them, (ii) has the highest stability.

=====

(i)
Pu2ThPa: optimized geometry, PBE.

Structure (extended XYZ):
```
4
Lattice="3.848 0.000 0.000 0.000 3.848 0.000 0.000 0.000 6.984" Properties=species:S:1:pos:R:3 pbc="T T T"
Pu 0.000 0.000 1.533
Pu 0.000 0.000 5.451
Th 1.924 1.924 3.492
Pa 1.924 1.924 0.000
```

Calculated values
The calculation puts the total magnetization at 11.3 Bohr magnetons per cell. The calculated density comes out at 15.3 g/cm3. The space group is P4/mmm (123).

=====

(ii)
Pu2ThPa: optimized geometry, PBE.

Structure (extended XYZ):
```
16
Lattice="7.481 0.000 0.000 0.000 7.481 0.000 0.000 0.000 7.481" Properties=species:S:1:pos:R:3 pbc="T T T"
Pu 1.870 1.870 1.870
Pu 1.870 1.870 5.611
Pu 1.870 5.611 1.870
Pu 1.870 5.611 5.611
Pu 5.611 1.870 1.870
Pu 5.611 1.870 5.611
Pu 5.611 5.611 1.870
Pu 5.611 5.611 5.611
Th 0.000 0.000 0.000
Th 0.000 3.741 3.741
Th 3.741 0.000 3.741
Th 3.741 3.741 0.000
Pa 0.000 0.000 3.741
Pa 0.000 3.741 0.000
Pa 3.741 0.000 0.000
Pa 3.741 3.741 3.741
```

Calculated values
The calculation puts the total magnetization at 48.0 Bohr magnetons per cell. The calculated density comes out at 15.1 g/cm3. The space group is Fm-3m (225).

=====

(iii)
Pu2ThPa: optimized geometry, PBE.

Structure (extended XYZ):
```
4
Lattice="5.557 0.000 0.000 0.000 5.557 0.000 0.000 0.000 3.314" Properties=species:S:1:pos:R:3 pbc="T T T"
Pu 0.000 2.779 0.000
Pu 2.779 0.000 0.000
Th 0.000 0.000 1.657
Pa 2.779 2.779 1.657
```

Calculated values
The calculation puts the total magnetization at 10.7 Bohr magnetons per cell. The calculated density comes out at 15.4 g/cm3. The space group is P4/mmm (123).

=====

Of them, (i) has the highest stability.

=====

(i)
PuThPa: optimized geometry, PBE.

Structure (extended XYZ):
```
6
Lattice="6.049 0.000 0.000 0.000 5.558 0.000 0.000 0.000 5.042" Properties=species:S:1:pos:R:3 pbc="T T T"
Pu 0.000 0.000 0.000
Pu 3.025 0.000 0.000
Th 1.512 2.779 1.076
Th 4.537 2.779 3.966
Pa 1.512 0.000 2.629
Pa 4.537 0.000 2.412
```

Calculated values
The calculation puts the total magnetization at 9.5 Bohr magnetons per cell. The calculated density comes out at 13.9 g/cm3. The space group is Pmma (51).

=====

(ii)
PuThPa: optimized geometry, PBE.

Structure (extended XYZ):
```
12
Lattice="4.845 0.000 0.000 0.000 4.835 0.000 0.000 0.000 13.735" Properties=species:S:1:pos:R:3 pbc="T T T"
Pu 1.208 0.000 3.742
Pu 1.214 2.418 9.993
Pu 3.630 2.418 3.742
Pu 3.637 0.000 9.993
Th 1.212 0.000 12.419
Th 1.210 2.418 1.316
Th 3.632 0.000 1.316
Th 3.635 2.418 12.419
Pa 1.211 0.000 7.958
Pa 1.211 2.418 5.777
Pa 3.634 0.000 5.777
Pa 3.633 2.418 7.958
```

Calculated values
The calculation puts the total magnetization at 21.1 Bohr magnetons per cell. The calculated density comes out at 14.6 g/cm3. The space group is C2/m (12).

=====

(iii)
PuThPa: optimized geometry, PBE.

Structure (extended XYZ):
```
3
Lattice="5.277 0.000 0.000 -2.639 4.570 0.000 0.000 0.000 3.385" Properties=species:S:1:pos:R:3 pbc="T T T"
Pu 0.000 0.000 0.000
Th 2.639 1.523 1.692
Pa 0.000 3.047 0.000
```

Calculated values
The calculation puts the total magnetization at 5.8 Bohr magnetons per cell. The calculated density comes out at 14.4 g/cm3. The space group is P-6m2 (187).

=====

Of them, (ii) has the highest stability.